Below is a relaxed structure of BeInBr2, with properties calculated at the GGA-PBEsol level.

Its energy relative to the lowest polymorph listed for this composition is 15 meV per atom. Its crystal system is orthorhombic. The density of states at the Fermi level comes out at 0.474 states/eV/f.u. The calculation puts the uncorrected formation energy at -5.82 kcal/mol of atoms. For the magnetic moment, the calculation gives 0.00 μB/atom. The total energy is -11.7 eV for the cell shown.

Cell: 3.699 3.699 8.897 Å, 90.00 90.00 124.55°
Positions (direct):
Be (0.000, 0.000, 0.000)
In (0.500, 0.500, 0.772)
Br (0.000, 0.000, 0.535)
Br (0.500, 0.500, 0.158)